# YCdHg2 (PBE-GGA, relaxed)
data_YCdHg2
_symmetry_space_group_name_H-M 'R -3 m'
_symmetry_Int_Tables_number 166
_symmetry_space_group_name_Hall '-R 3 2"'
_cell_length_a 3.8162
_cell_length_b 3.8162
_cell_length_c 25.2648
_cell_angle_alpha 90.00
_cell_angle_beta 90.00
_cell_angle_gamma 120.00
loop_
_atom_site_label
_atom_site_type_symbol
_atom_site_fract_x
_atom_site_fract_y
_atom_site_fract_z
Y1 Y 0.0000 0.0000 0.0000
Cd1 Cd 0.0000 0.0000 0.5000
Hg1 Hg 0.0000 0.0000 0.2468
# calculated volume: 26.55 A^3/atom
# DFT total energy: -2.19 eV per atom

# FePtSe3 (PBE-GGA, relaxed)
data_FePtSe3
_symmetry_space_group_name_H-M 'P m -3 m'
_symmetry_Int_Tables_number 221
_symmetry_space_group_name_Hall '-P 4 2 3'
_cell_length_a 4.632
_cell_length_b 4.632
_cell_length_c 4.632
_cell_angle_alpha 90.00
_cell_angle_beta 90.00
_cell_angle_gamma 90.00
loop_
_atom_site_label
_atom_site_type_symbol
_atom_site_fract_x
_atom_site_fract_y
_atom_site_fract_z
Fe1 Fe 0.000 0.000 0.000
Pt1 Pt 0.500 0.500 0.500
Se1 Se 0.000 0.000 0.500
# formation energy (no corrections): 3.370 eV per formula unit
# calculated volume: 19.87 A^3/atom

# PuSi4Ni2Ir (PBE-GGA, relaxed)
data_PuSi4Ni2Ir
_symmetry_space_group_name_H-M 'R -3 m'
_symmetry_Int_Tables_number 166
_symmetry_space_group_name_Hall '-R 3 2"'
_cell_length_a 3.9589
_cell_length_b 3.9589
_cell_length_c 25.8634
_cell_angle_alpha 90.00
_cell_angle_beta 90.00
_cell_angle_gamma 120.00
loop_
_atom_site_label
_atom_site_type_symbol
_atom_site_fract_x
_atom_site_fract_y
_atom_site_fract_z
Pu1 Pu 0.0000 0.0000 0.0000
Si1 Si 0.0000 0.0000 0.1209
Si2 Si 0.0000 0.0000 0.4004
Ni1 Ni 0.0000 0.0000 0.2358
Ir1 Ir 0.0000 0.0000 0.5000
# formation energy (no corrections): -3.420 eV per formula unit
# calculated volume: 14.63 A^3/atom

For each record above, in turn, the calculated calculated density values are 9.42, 8.15, 9.45 g/cm3.
For each record above, in turn, the calculated density of states at the Fermi level values are 4.779, 7.786, 32.288 states/eV/cell.